Arrangement P

VASP calculation (GGA-PBE) on an optimized crystal structure of Mg3MoIr.

Computed properties:
crystal system	cubic
SG	Pm-3m (221)

Lattice parameters (Å, degrees): 4.8042 4.8042 4.8042 90.00 90.00 90.00
Positions (direct):
1 Ir 0.0000 0.0000 0.0000
2 Mg 0.0000 0.0000 0.5000
3 Mg 0.0000 0.5000 0.0000
4 Mg 0.5000 0.0000 0.0000
5 Mo 0.5000 0.5000 0.5000

---

Arrangement Q

VASP calculation (GGA-PBE) on an optimized crystal structure of Mg3MoIr.

Computed properties:
crystal system	cubic
SG	Pm-3m (221)

Lattice parameters (Å, degrees): 4.9455 4.9455 4.9455 90.00 90.00 90.00
Last column: magnetic moment on the atom in μB.
Positions (direct):
1 Ir 0.5000 0.5000 0.5000  0.58
2 Mo 0.0000 0.0000 0.0000  2.04
3 Mg 0.0000 0.0000 0.5000  -0.01
4 Mg 0.5000 0.0000 0.0000  0.03
5 Mg 0.0000 0.5000 0.0000  0.00

---

Of them, arrangement Q has the lowest stability.

---

Arrangement P

VASP calculation (GGA-PBE) on an optimized crystal structure of MgMoIr.

Computed properties:
crystal system	trigonal
SG	P3m1 (156)

Lattice parameters (Å, degrees): 4.4106 4.4106 2.7972 90.00 90.00 120.00
Positions (direct):
1 Mo 0.3333 0.6667 0.7159
2 Ir 0.0000 0.0000 0.9684
3 Mg 0.6667 0.3333 0.3157

---

Arrangement Q

VASP calculation (GGA-PBE) on an optimized crystal structure of MgMoIr.

Computed properties:
crystal system	tetragonal
SG	I4mm (107)

Lattice parameters (Å, degrees): 6.0344 6.0344 6.0344 152.14 152.14 39.81
Positions (direct):
1 Mg 0.3414 0.3414 0.0000
2 Ir 0.0049 0.0049 0.0000
3 Mo 0.6537 0.6537 0.0000

---

Arrangement R

VASP calculation (GGA-PBE) on an optimized crystal structure of MgMoIr.

Computed properties:
crystal system	orthorhombic
SG	Fmm2 (42)

Lattice parameters (Å, degrees): 7.3011 7.0879 2.7571 83.34 74.63 22.03
Positions (direct):
1 Mo 0.6598 0.6598 0.3402
2 Ir 0.0026 0.0026 0.9974
3 Mg 0.3375 0.3375 0.6625

---

Of them, arrangement R has the lowest stability.

---

Arrangement P

VASP calculation (GGA-PBE) on an optimized crystal structure of MgMoIr.

Computed properties:
crystal system	tetragonal
SG	I4/mmm (139)

Lattice parameters (Å, degrees): 2.8758 2.8758 12.6890 96.51 96.51 90.00
Positions (direct):
1 Ir 0.1377 0.1377 0.2754
2 Ir 0.8623 0.8623 0.7246
3 Mo 0.7076 0.7076 0.4152
4 Mo 0.2924 0.2924 0.5848
5 Mg 0.5647 0.5647 0.1295
6 Mg 0.4353 0.4353 0.8705

---

Arrangement Q

VASP calculation (GGA-PBE) on an optimized crystal structure of MgMoIr.

Computed properties:
crystal system	cubic
SG	F-43m (216)

Lattice parameters (Å, degrees): 4.2702 4.2702 4.2702 60.00 60.00 60.00
Positions (direct):
1 Mg 0.0000 0.0000 0.0000
2 Mo 0.5000 0.5000 0.5000
3 Ir 0.7500 0.7500 0.7500

---

Of them, arrangement Q has the lowest stability.

---

Arrangement P

VASP calculation (GGA-PBE) on an optimized crystal structure of MgIrSN2.

Computed properties:
crystal system	tetragonal
SG	P4/mmm (123)

Lattice parameters (Å, degrees): 3.7567 3.7567 5.5110 90.00 90.00 90.00
Positions (direct):
1 N 0.0000 0.5000 0.0000
2 N 0.5000 0.0000 0.0000
3 Ir 0.0000 0.0000 0.0000
4 Mg 0.5000 0.5000 0.5000
5 S 0.0000 0.0000 0.5000

---

Arrangement Q

VASP calculation (GGA-PBE) on an optimized crystal structure of MgIrSN2.

Computed properties:
crystal system	tetragonal
SG	P4/mmm (123)

Lattice parameters (Å, degrees): 3.8306 3.8306 4.8119 90.00 90.00 90.00
Last column: magnetic moment on the atom in μB.
Positions (direct):
1 N 0.5000 0.0000 0.0000  0.57
2 N 0.0000 0.5000 0.0000  0.57
3 Ir 0.5000 0.5000 0.5000  -0.28
4 Mg 0.0000 0.0000 0.0000  0.00
5 S 0.0000 0.0000 0.5000  0.13

---

Of them, arrangement Q has the lowest stability.